The following is a GGA-PBE calculation of crystalline Mg2Ga5Pd2Rh at its relaxed geometry, from Alexandria.

energy of formation from the pure elements	-411	meV/atom
magnetic moment	0.00	μB per formula unit

Cell: 9.048 9.048 4.032 Å, 90.00 90.00 90.00°
Fractional positions:
1 Mg 0.175 0.325 0.000
2 Mg 0.325 0.825 0.000
3 Mg 0.675 0.175 0.000
4 Mg 0.825 0.675 0.000
5 Ga 0.000 0.500 0.500
6 Ga 0.065 0.804 0.500
7 Ga 0.196 0.065 0.500
8 Ga 0.304 0.565 0.500
9 Ga 0.435 0.304 0.500
10 Ga 0.500 0.000 0.500
11 Ga 0.565 0.696 0.500
12 Ga 0.696 0.435 0.500
13 Ga 0.804 0.935 0.500
14 Ga 0.935 0.196 0.500
15 Pd 0.123 0.623 0.000
16 Pd 0.377 0.123 0.000
17 Pd 0.623 0.877 0.000
18 Pd 0.877 0.377 0.000
19 Rh 0.000 0.000 0.000
20 Rh 0.500 0.500 0.000